CsMgH3, PBEsol geometry, DFT meta-GGA SCAN; crystal system = trigonal; E = -10.973 eV/atom
1.0
6.135 0.000 0.000
3.068 5.313 0.000
3.068 1.771 7.359
H Mg Cs
9 3 3
Cartesian
6.135 2.060 2.370
4.851 2.801 4.989
4.851 4.284 2.370
7.419 2.801 4.989
3.068 0.000 0.000
6.135 5.025 4.989
1.534 2.657 0.000
4.602 2.657 0.000
7.419 4.284 2.370
6.135 3.542 3.680
6.135 3.542 0.999
6.135 3.542 6.360
3.068 1.771 2.637
0.000 0.000 0.000
9.203 5.313 4.722


CsNaMgH2, PBEsol geometry, DFT meta-GGA SCAN; crystal system = tetragonal; E = -10.237 eV/atom
1.0
4.936 0.000 0.000
0.000 4.936 0.000
0.000 0.000 5.920
Na H Cs Mg
1 2 1 1
Cartesian
0.000 0.000 0.000
0.000 2.468 0.000
2.468 0.000 0.000
0.000 0.000 2.960
2.468 2.468 2.960


Cs2MgH12S2O14, PBEsol geometry, DFT meta-GGA SCAN; crystal system = monoclinic; E = -8.914 eV/atom
1.0
-5.902 -2.223 0.431
3.653 -3.669 -7.630
4.217 -9.884 6.772
H O Cs S Mg
24 28 4 4 2
Cartesian
3.224 -9.251 -1.249
1.550 -4.667 -6.284
0.744 -13.326 -0.515
-0.705 -5.366 -5.043
1.003 -13.618 1.030
-2.884 -6.644 0.897
-2.121 -8.744 2.762
1.303 -6.535 0.068
-1.161 -2.188 0.922
0.966 -2.157 -1.457
4.853 -9.131 -1.324
4.033 -9.655 4.106
4.089 -7.031 -3.189
-1.624 -10.221 2.430
3.593 -5.554 -2.857
-2.064 -6.120 -4.534
-1.255 -6.524 0.822
1.225 -2.449 0.088
3.130 -13.587 -1.349
1.573 -6.150 -1.435
0.666 -9.240 -0.495
2.674 -10.409 4.616
0.419 -11.108 5.857
0.396 -9.625 1.008
1.715 -9.900 -1.657
-2.066 -6.952 0.421
0.457 -11.993 -1.516
6.763 -11.845 -0.283
0.254 -5.875 1.229
3.751 -7.231 1.628
0.663 -4.385 -4.863
0.868 -2.919 -2.953
-0.218 -10.826 6.570
3.385 -9.748 4.858
-0.912 -3.763 1.354
1.906 -6.739 -0.699
1.101 -12.856 2.526
-0.805 -11.481 3.206
1.306 -11.390 4.436
0.063 -9.036 0.272
2.187 -4.949 -6.997
0.800 -5.330 -2.644
2.881 -12.012 -1.781
4.149 -8.162 -4.433
1.169 -10.445 2.217
-1.416 -6.027 -5.285
-2.180 -7.613 4.005
-4.794 -3.930 -0.144
-1.782 -8.544 -2.055
4.034 -8.823 -0.848
2.774 -4.294 -3.633
1.512 -3.782 1.089
-1.880 -4.236 -1.538
0.825 -8.130 -3.942
1.144 -7.645 3.515
3.849 -11.539 1.111
1.625 -11.310 -2.150
1.286 -4.227 -3.513
0.683 -11.548 3.085
0.344 -4.465 1.723
0.000 0.000 0.000
3.935 -6.776 -0.429